# 1
{
  "formula": "Mg2NiOs",
  "functional": "PBE-GGA",
  "state": "optimized geometry",
  "lattice_angstrom": [[-1.966, 1.966, 3.852], [1.966, -1.966, 3.852], [1.966, 1.966, -3.852]],
  "species": ["Mg", "Mg", "Ni", "Os"],
  "frac_coords": [[0.000, 0.000, 0.000], [0.750, 0.250, 0.500], [0.250, 0.750, 0.500], [0.500, 0.500, 0.000]],
  "magnetic_moment_mub_per_fu": 0.04,
  "e_tot_ev_per_cell": -19.23,
  "relative_energy_kj_per_mol_atoms": 18.79,
  "n_ef_per_ev_atom": 1.20,
  "e_form_kj_per_mol_atoms": 23.49
}

***

# 2
{
  "formula": "Pm2Nd3Pb4",
  "functional": "PBE-GGA",
  "state": "optimized geometry",
  "lattice_angstrom": [[6.880, -2.489, 0.000], [6.880, 2.489, 0.000], [-6.013, 0.000, 8.550]],
  "species": ["Pm", "Pm", "Nd", "Nd", "Nd", "Pb", "Pb", "Pb", "Pb"],
  "frac_coords": [[0.145, 0.145, 0.318], [0.855, 0.855, 0.682], [0.147, 0.147, 0.699], [0.500, 0.500, 0.000], [0.853, 0.853, 0.301], [0.172, 0.172, 0.029], [0.437, 0.437, 0.588], [0.563, 0.563, 0.412], [0.828, 0.828, 0.971]],
  "magnetic_moment_mub_per_fu": 0.00,
  "e_tot_ev_per_cell": -42.57,
  "relative_energy_kj_per_mol_atoms": 4.95,
  "n_ef_per_ev_atom": 0.79,
  "e_form_kj_per_mol_atoms": -42.14
}